Entry from Alexandria: an optimized crystal structure of TiPd2Au3 (GGA-PBE).

Lattice parameters (Å, degrees): 5.4596 5.4596 7.0172 97.47 97.47 95.13
With the nearest neighbours (Å) after each atom.
Sites, in units of the cell vectors:
Ti  0.0779  0.9221  0.7500  5 Au 2.62-2.73, 4 Pd 2.85
Ti  0.9221  0.0779  0.2500  5 Au 2.62-2.73, 4 Pd 2.85
Pd  0.1094  0.6483  0.3806  2 Pd 2.78-2.79, 2 Ti 2.85, 6 Au 2.85-3.04
Pd  0.3517  0.8906  0.1194  2 Pd 2.78-2.79, 2 Ti 2.85, 6 Au 2.85-3.04
Pd  0.6483  0.1094  0.8806  2 Pd 2.78-2.79, 2 Ti 2.85, 6 Au 2.85-3.04
Pd  0.8906  0.3517  0.6194  2 Pd 2.78-2.79, 2 Ti 2.85, 6 Au 2.85-3.04
Au  0.1632  0.3277  0.0043  2 Ti 2.62-2.73, 3 Au 2.71-2.83, 3 Pd 2.85-2.93
Au  0.3277  0.1632  0.5043  2 Ti 2.62-2.73, 3 Au 2.71-2.83, 3 Pd 2.85-2.93
Au  0.4031  0.5969  0.7500  1 Ti 2.62, 4 Au 2.71-2.83, 2 Pd 2.93
Au  0.5969  0.4031  0.2500  1 Ti 2.62, 4 Au 2.71-2.83, 2 Pd 2.93
Au  0.6723  0.8368  0.4957  2 Ti 2.62-2.73, 3 Au 2.71-2.83, 3 Pd 2.85-2.93
Au  0.8368  0.6723  0.9957  2 Ti 2.62-2.73, 3 Au 2.71-2.83, 3 Pd 2.85-2.93

Volume = 17.04 A^3/atom
Space group = C2/c (15)
Final energy = -59.4 eV for the cell shown
Total moment = 0.00 μB/f.u.
Formation energy from the elements = -265 meV per atom


Entry from Alexandria: an optimized crystal structure of HfTcAgP2 (GGA-PBE).

Lattice parameters (Å, degrees): 4.9319 4.9319 4.9021 90.00 90.00 90.00
With the nearest neighbours (Å) after each atom.
Sites, in units of the cell vectors:
Hf  0.0000  0.0000  0.0000  2 Tc 2.45, 4 P 2.47
Tc  0.0000  0.0000  0.5000  2 Hf 2.45
Ag  0.5000  0.5000  0.5000  8 P 3.48, 4 Tc 3.49
P  0.0000  0.5000  0.0000  2 Hf 2.47
P  0.5000  0.0000  0.0000  2 Hf 2.47

Volume = 23.85 A^3/atom
Space group = P4/mmm (123)
Final energy = -28.7 eV for the cell shown
Total moment = 2.14 μB/f.u.
Formation energy from the elements = 1057 meV per atom


Entry from Alexandria: an optimized crystal structure of Li4Si2O7 (GGA-PBE).

Lattice parameters (Å, degrees): 7.7314 7.7314 5.5020 90.00 90.00 90.00
With the nearest neighbours (Å) after each atom.
Sites, in units of the cell vectors:
Li  0.0700  0.1552  0.3214  4 O 1.91-2.02
Li  0.1552  0.9300  0.6786  4 O 1.91-2.02
Li  0.3448  0.4300  0.3214  4 O 1.91-2.02
Li  0.4300  0.6552  0.6786  4 O 1.91-2.02
Li  0.5700  0.3448  0.6786  4 O 1.91-2.02
Li  0.6552  0.5700  0.3214  4 O 1.91-2.02
Li  0.8448  0.0700  0.6786  4 O 1.91-2.02
Li  0.9300  0.8448  0.3214  4 O 1.91-2.02
Si  0.1509  0.3491  0.8233  4 O 1.63-1.66
Si  0.3491  0.8491  0.1767  4 O 1.63-1.66
Si  0.6509  0.1509  0.1767  4 O 1.63-1.66
Si  0.8491  0.6509  0.8233  4 O 1.63-1.66
O  0.0000  0.5000  0.7995  2 Si 1.66
O  0.0820  0.1751  0.6867  1 Si 1.63
O  0.1751  0.9180  0.3133  1 Si 1.63
O  0.1801  0.3199  0.1133  1 Si 1.63
O  0.3199  0.8199  0.8867  1 Si 1.63
O  0.3249  0.4180  0.6867  1 Si 1.63
O  0.4180  0.6751  0.3133  1 Si 1.63
O  0.5000  0.0000  0.2005  2 Si 1.66
O  0.5820  0.3249  0.3133  1 Si 1.63
O  0.6751  0.5820  0.6867  1 Si 1.63
O  0.6801  0.1801  0.8867  1 Si 1.63
O  0.8199  0.6801  0.1133  1 Si 1.63
O  0.8249  0.0820  0.3133  1 Si 1.63
O  0.9180  0.8249  0.6867  1 Si 1.63

Volume = 12.65 A^3/atom
Space group = P-42_1m (113)
Final energy = -162.2 eV for the cell shown
Total moment = 2.01 μB/f.u.


Entry from Alexandria: an optimized crystal structure of Rb2HoNp3O12 (GGA-PBE).

Lattice parameters (Å, degrees): 7.7556 7.7556 7.7556 61.89 61.89 61.89
With the nearest neighbours (Å) after each atom.
Sites, in units of the cell vectors:
Rb  0.1248  0.1248  0.1248  6 O 3.37-3.48
Rb  0.8752  0.8752  0.8752  6 O 3.37-3.48
Ho  0.5000  0.5000  0.5000  6 O 2.25
Np  0.0000  0.5000  0.5000  6 O 1.94-2.11
Np  0.5000  0.0000  0.5000  6 O 1.94-2.11
Np  0.5000  0.5000  0.0000  6 O 1.94-2.11
O  0.1611  0.5717  0.5717  1 Np 1.94
O  0.1881  0.1881  0.5703  2 Np 2.11
O  0.1881  0.5703  0.1881  2 Np 2.11
O  0.4283  0.4283  0.8389  1 Np 1.94
O  0.4283  0.8389  0.4283  1 Np 1.94
O  0.4297  0.8119  0.8119  2 Np 2.11
O  0.5703  0.1881  0.1881  2 Np 2.11
O  0.5717  0.1611  0.5717  1 Np 1.94
O  0.5717  0.5717  0.1611  1 Np 1.94
O  0.8119  0.4297  0.8119  2 Np 2.11
O  0.8119  0.8119  0.4297  2 Np 2.11
O  0.8389  0.4283  0.4283  1 Np 1.94

Volume = 19.10 A^3/atom
Space group = R-3m (166)
Final energy = -154.3 eV for the cell shown
Total moment = 2.00 μB/f.u.


Entry from Alexandria: an optimized crystal structure of Cu5Mo3Pt12 (GGA-PBE).

Lattice parameters (Å, degrees): 12.5830 12.5830 12.5830 109.47 109.47 109.47
With the nearest neighbours (Å) after each atom.
Sites, in units of the cell vectors:
Cu  0.0000  0.0000  0.0000  6 Pt 2.46
Cu  0.0000  0.0000  0.5000  6 Pt 2.46
Cu  0.0000  0.5000  0.0000  6 Pt 2.46
Cu  0.0000  0.5000  0.5000  6 Pt 2.46
Cu  0.1250  0.7500  0.8750  4 Pt 2.43
Cu  0.1250  0.8750  0.2500  4 Pt 2.43
Cu  0.2500  0.1250  0.8750  4 Pt 2.43
Cu  0.2500  0.6250  0.3750  4 Pt 2.43
Cu  0.3750  0.2500  0.6250  4 Pt 2.43
Cu  0.3750  0.6250  0.7500  4 Pt 2.43
Cu  0.5000  0.0000  0.0000  6 Pt 2.46
Cu  0.5000  0.0000  0.5000  6 Pt 2.46
Cu  0.5000  0.5000  0.0000  6 Pt 2.46
Cu  0.5000  0.5000  0.5000  6 Pt 2.46
Cu  0.6250  0.3750  0.2500  4 Pt 2.43
Cu  0.6250  0.7500  0.3750  4 Pt 2.43
Cu  0.7500  0.3750  0.6250  4 Pt 2.43
Cu  0.7500  0.8750  0.1250  4 Pt 2.43
Cu  0.8750  0.1250  0.7500  4 Pt 2.43
Cu  0.8750  0.2500  0.1250  4 Pt 2.43
Mo  0.1250  0.2500  0.3750  8 Pt 2.57-2.71
Mo  0.1250  0.3750  0.7500  8 Pt 2.57-2.71
Mo  0.2500  0.3750  0.1250  8 Pt 2.57-2.71
Mo  0.2500  0.8750  0.6250  8 Pt 2.57-2.71
Mo  0.3750  0.1250  0.2500  8 Pt 2.57-2.71
Mo  0.3750  0.7500  0.1250  8 Pt 2.57-2.71
Mo  0.6250  0.2500  0.8750  8 Pt 2.57-2.71
Mo  0.6250  0.8750  0.7500  8 Pt 2.57-2.71
Mo  0.7500  0.1250  0.3750  8 Pt 2.57-2.71
Mo  0.7500  0.6250  0.8750  8 Pt 2.57-2.71
Mo  0.8750  0.6250  0.2500  8 Pt 2.57-2.71
Mo  0.8750  0.7500  0.6250  8 Pt 2.57-2.71
Pt  0.0622  0.2265  0.1370  2 Cu 2.43-2.46, 2 Mo 2.57-2.71
Pt  0.0622  0.3357  0.9252  2 Cu 2.43-2.46, 2 Mo 2.57-2.71
Pt  0.0748  0.6370  0.4105  2 Cu 2.43-2.46, 2 Mo 2.57-2.71
Pt  0.0748  0.9378  0.6643  2 Cu 2.43-2.46, 2 Mo 2.57-2.71
Pt  0.0895  0.7265  0.6643  2 Cu 2.43-2.46, 2 Mo 2.57-2.71
Pt  0.0895  0.8630  0.4252  2 Cu 2.43-2.46, 2 Mo 2.57-2.71
Pt  0.1370  0.0622  0.2265  2 Cu 2.43-2.46, 2 Mo 2.57-2.71
Pt  0.1370  0.5748  0.9105  2 Cu 2.43-2.46, 2 Mo 2.57-2.71
Pt  0.1643  0.2265  0.5895  2 Cu 2.43-2.46, 2 Mo 2.57-2.71
Pt  0.1643  0.4378  0.5748  2 Cu 2.43-2.46, 2 Mo 2.57-2.71
Pt  0.2265  0.1370  0.0622  2 Cu 2.43-2.46, 2 Mo 2.57-2.71
Pt  0.2265  0.5895  0.1643  2 Cu 2.43-2.46, 2 Mo 2.57-2.71
Pt  0.2735  0.3357  0.9105  2 Cu 2.43-2.46, 2 Mo 2.57-2.71
Pt  0.2735  0.4378  0.3630  2 Cu 2.43-2.46, 2 Mo 2.57-2.71
Pt  0.3357  0.9105  0.2735  2 Cu 2.43-2.46, 2 Mo 2.57-2.71
Pt  0.3357  0.9252  0.0622  2 Cu 2.43-2.46, 2 Mo 2.57-2.71
Pt  0.3630  0.2735  0.4378  2 Cu 2.43-2.46, 2 Mo 2.57-2.71
Pt  0.3630  0.5895  0.9252  2 Cu 2.43-2.46, 2 Mo 2.57-2.71
Pt  0.4105  0.0748  0.6370  2 Cu 2.43-2.46, 2 Mo 2.57-2.71
Pt  0.4105  0.8357  0.7735  2 Cu 2.43-2.46, 2 Mo 2.57-2.71
Pt  0.4252  0.0895  0.8630  2 Cu 2.43-2.46, 2 Mo 2.57-2.71
Pt  0.4252  0.8357  0.5622  2 Cu 2.43-2.46, 2 Mo 2.57-2.71
Pt  0.4378  0.3630  0.2735  2 Cu 2.43-2.46, 2 Mo 2.57-2.71
Pt  0.4378  0.5748  0.1643  2 Cu 2.43-2.46, 2 Mo 2.57-2.71
Pt  0.5622  0.4252  0.8357  2 Cu 2.43-2.46, 2 Mo 2.57-2.71
Pt  0.5622  0.6370  0.7265  2 Cu 2.43-2.46, 2 Mo 2.57-2.71
Pt  0.5748  0.1643  0.4378  2 Cu 2.43-2.46, 2 Mo 2.57-2.71
Pt  0.5748  0.9105  0.1370  2 Cu 2.43-2.46, 2 Mo 2.57-2.71
Pt  0.5895  0.1643  0.2265  2 Cu 2.43-2.46, 2 Mo 2.57-2.71
Pt  0.5895  0.9252  0.3630  2 Cu 2.43-2.46, 2 Mo 2.57-2.71
Pt  0.6370  0.4105  0.0748  2 Cu 2.43-2.46, 2 Mo 2.57-2.71
Pt  0.6370  0.7265  0.5622  2 Cu 2.43-2.46, 2 Mo 2.57-2.71
Pt  0.6643  0.0748  0.9378  2 Cu 2.43-2.46, 2 Mo 2.57-2.71
Pt  0.6643  0.0895  0.7265  2 Cu 2.43-2.46, 2 Mo 2.57-2.71
Pt  0.7265  0.5622  0.6370  2 Cu 2.43-2.46, 2 Mo 2.57-2.71
Pt  0.7265  0.6643  0.0895  2 Cu 2.43-2.46, 2 Mo 2.57-2.71
Pt  0.7735  0.4105  0.8357  2 Cu 2.43-2.46, 2 Mo 2.57-2.71
Pt  0.7735  0.8630  0.9378  2 Cu 2.43-2.46, 2 Mo 2.57-2.71
Pt  0.8357  0.5622  0.4252  2 Cu 2.43-2.46, 2 Mo 2.57-2.71
Pt  0.8357  0.7735  0.4105  2 Cu 2.43-2.46, 2 Mo 2.57-2.71
Pt  0.8630  0.4252  0.0895  2 Cu 2.43-2.46, 2 Mo 2.57-2.71
Pt  0.8630  0.9378  0.7735  2 Cu 2.43-2.46, 2 Mo 2.57-2.71
Pt  0.9105  0.1370  0.5748  2 Cu 2.43-2.46, 2 Mo 2.57-2.71
Pt  0.9105  0.2735  0.3357  2 Cu 2.43-2.46, 2 Mo 2.57-2.71
Pt  0.9252  0.0622  0.3357  2 Cu 2.43-2.46, 2 Mo 2.57-2.71
Pt  0.9252  0.3630  0.5895  2 Cu 2.43-2.46, 2 Mo 2.57-2.71
Pt  0.9378  0.6643  0.0748  2 Cu 2.43-2.46, 2 Mo 2.57-2.71
Pt  0.9378  0.7735  0.8630  2 Cu 2.43-2.46, 2 Mo 2.57-2.71

Volume = 19.17 A^3/atom
Space group = Ia-3d (230)
Final energy = -463.0 eV for the cell shown
Total moment = 0.00 μB/f.u.
Formation energy from the elements = 486 meV per atom


Entry from Alexandria: an optimized crystal structure of ErNi2Au (GGA-PBE).

Lattice parameters (Å, degrees): 4.4848 4.4848 4.4848 60.00 60.00 60.00
With the nearest neighbours (Å) after each atom.
Sites, in units of the cell vectors:
Er  0.0000  0.0000  0.0000  8 Ni 2.75
Ni  0.2500  0.2500  0.2500  4 Er 2.75, 4 Au 2.75
Ni  0.7500  0.7500  0.7500  4 Au 2.75, 4 Er 2.75
Au  0.5000  0.5000  0.5000  8 Ni 2.75

Volume = 15.95 A^3/atom
Space group = Fm-3m (225)
Final energy = -20.9 eV for the cell shown
Total moment = 0.00 μB/f.u.
Formation energy from the elements = -379 meV per atom